A relaxed Na3Cd7Au2 crystal, computed with PBE.

a b c (Å): 4.603 4.093 16.041
angles (deg): 90.00 97.66 90.00
Space group P2/m (No. 10)
Symmetry-distinct sites (fractional):
Na1 0.000 0.000 0.000
Na2 0.332 0.500 0.661
Cd1 0.074 0.500 0.151
Cd2 0.224 0.000 0.445
Cd3 0.419 0.000 0.839
Cd4 0.500 0.500 0.000
Au1 0.135 0.000 0.274

Output
The uncorrected energy is -1.55 eV per atom. The value obtained for the excess energy over the best structure of this formula in the dataset is 24.4 meV per atom. Its energy relative to the elements is -0.14 eV per atom.